# CrIN2F | the Alexandria database | PBE+U | relaxed
# Energy relative to the lowest polymorph listed for this composition in meV/atom: 0
# Calculated volume in A^3/atom: 12.92
data_CrIN2F
_chemical_formula_sum 'Cr1 I1 N2 F1'
_space_group_name_H-M_alt 'P 4/m m m'
_space_group_IT_number 123
_space_group_name_Hall '-P 4 2'
_cell_length_a 4.083
_cell_length_b 4.083
_cell_length_c 3.876
_cell_angle_alpha 90.00
_cell_angle_beta 90.00
_cell_angle_gamma 90.00
loop_
_atom_site_label
_atom_site_type_symbol
_atom_site_fract_x
_atom_site_fract_y
_atom_site_fract_z
_atom_site_occupancy
Cr1 Cr 0.000 0.000 0.000 1
I1 I 0.500 0.500 0.500 1
N1 N 0.000 0.500 0.000 1
F1 F 0.000 0.000 0.500 1